Record 1
A plane-wave DFT calculation with PBE was carried out for a relaxed ReIrCl3 crystal.

## Properties
Uncorrected energy = -4.835 eV per atom

Unit cell a=7.2967 b=7.2967 c=4.9856 alpha=90.00 beta=90.00 gamma=120.00
Last column: nearest neighbours and their distance in Å.
Positions (direct):
1 Re 0.0000 0.0000 0.0000  6 Cl 2.46, 2 Re 2.49
2 Re 0.0000 0.0000 0.5000  6 Cl 2.46, 2 Re 2.49
3 Ir 0.6667 0.3333 0.0000  2 Ir 2.49
4 Ir 0.6667 0.3333 0.5000  2 Ir 2.49
5 Cl 0.2941 0.0073 0.2500  2 Re 2.46
6 Cl 0.2941 0.2868 0.7500  2 Re 2.46
7 Cl 0.7132 0.0073 0.7500  2 Re 2.46
8 Cl 0.7132 0.7059 0.2500  2 Re 2.46
9 Cl 0.9927 0.2868 0.2500  2 Re 2.46
10 Cl 0.9927 0.7059 0.7500  2 Re 2.46

---

Record 2
A plane-wave DFT calculation with PBE was carried out for a relaxed IrSe2Cl2 crystal.

## Properties
Uncorrected energy = -4.054 eV per atom

Unit cell a=6.6127 b=6.9339 c=7.1962 alpha=66.43 beta=86.31 gamma=67.63
Last column: nearest neighbours and their distance in Å.
Positions (direct):
1 Ir 0.1490 0.1582 0.4797  2 Cl 2.30-2.31, 4 Se 2.51-2.53
2 Ir 0.8510 0.8418 0.5203  2 Cl 2.30-2.31, 4 Se 2.51-2.53
3 Se 0.1319 0.8080 0.7649  1 Se 2.43, 2 Ir 2.51-2.52
4 Se 0.2015 0.8484 0.3612  1 Se 2.43, 2 Ir 2.51-2.53
5 Se 0.7985 0.1516 0.6388  1 Se 2.43, 2 Ir 2.51-2.53
6 Se 0.8681 0.1920 0.2351  1 Se 2.43, 2 Ir 2.51-2.52
7 Cl 0.2831 0.2506 0.7064  1 Ir 2.30
8 Cl 0.3040 0.3684 0.2220  1 Ir 2.31
9 Cl 0.6960 0.6316 0.7780  1 Ir 2.31
10 Cl 0.7169 0.7494 0.2936  1 Ir 2.30